VASP calculation (GGA-PBE) on crystalline RbGa3Ge2 at its relaxed geometry.

Properties
* energy relative to the lowest polymorph listed for this composition: 146 meV/atom
* calculated formation energy: 0.099 eV/atom

Unit cell a=9.851 b=9.851 c=9.851 alpha=60.00 beta=60.00 gamma=60.00
Sites, in units of the cell vectors:
Ge  0.251  0.251  0.251
Ga  0.544  0.206  0.544
Ga  0.206  0.206  0.544
Ga  0.456  0.456  0.794
Ga  0.544  0.206  0.206
Ga  0.794  0.456  0.794
Rb  0.500  0.000  0.000
Rb  0.000  0.000  0.000
Ge  0.749  0.749  0.749
Rb  0.000  0.500  0.000
Ga  0.206  0.544  0.206
Rb  0.000  0.000  0.500
Ga  0.544  0.544  0.206
Ge  0.251  0.251  0.746
Ge  0.746  0.251  0.251
Ge  0.749  0.749  0.254
Ga  0.794  0.794  0.456
Ga  0.794  0.456  0.456
Ge  0.254  0.749  0.749
Ga  0.456  0.794  0.794
Ge  0.749  0.254  0.749
Ge  0.251  0.746  0.251
Ga  0.456  0.794  0.456
Ga  0.206  0.544  0.544



VASP calculation (GGA-PBE) on crystalline BaScO at its relaxed geometry.

Properties
* energy relative to the lowest polymorph listed for this composition: 316 meV/atom
* energy relative to the elements, uncorrected: -1.222 eV/atom

Unit cell a=3.606 b=3.525 c=12.912 alpha=90.00 beta=90.00 gamma=120.75
Sites, in units of the cell vectors:
Sc  0.605  0.210  0.394
Ba  0.266  0.533  0.866
Ba  0.266  0.533  0.134
O  0.321  0.641  0.500
Sc  0.605  0.210  0.606
O  0.603  0.206  0.000



VASP calculation (GGA-PBE) on crystalline POsCO2 at its relaxed geometry.

Properties
* energy relative to the lowest polymorph listed for this composition: 587 meV/atom
* energy relative to the elements, uncorrected: 1.332 eV/atom

Unit cell a=3.567 b=3.567 c=3.856 alpha=90.00 beta=90.00 gamma=90.00
Sites, in units of the cell vectors:
Os  0.500  0.500  0.500
C  0.000  0.000  0.000
O  0.500  0.000  0.000
P  0.000  0.000  0.500
O  0.000  0.500  0.000



VASP calculation (GGA-PBE) on crystalline LaNd2Zn at its relaxed geometry.

Properties
* energy relative to the lowest polymorph listed for this composition: 149 meV/atom
* calculated formation energy: -0.001 eV/atom

Unit cell a=3.718 b=5.646 c=5.646 alpha=90.00 beta=90.00 gamma=90.00
Sites, in units of the cell vectors:
Nd  0.000  0.500  0.000
Nd  0.000  0.000  0.500
Zn  0.500  0.000  0.000
La  0.500  0.500  0.500



VASP calculation (GGA-PBE) on crystalline ErGa4Cu2Ru at its relaxed geometry.

Properties
* calculated formation energy: -0.285 eV/atom

Unit cell a=4.156 b=4.156 c=9.174 alpha=76.91 beta=76.91 gamma=60.00
Sites, in units of the cell vectors:
Ga  0.400  0.400  0.801
Ga  0.600  0.600  0.199
Ga  0.130  0.130  0.610
Cu  0.765  0.765  0.705
Cu  0.235  0.235  0.295
Ru  0.500  0.500  0.500
Ga  0.870  0.870  0.390
Er  0.000  0.000  0.000



VASP calculation (GGA-PBE) on crystalline As2SI2 at its relaxed geometry.

Properties
* energy relative to the elements, uncorrected: 0.107 eV/atom

Unit cell a=8.295 b=7.956 c=6.357 alpha=96.34 beta=90.00 gamma=121.42
Sites, in units of the cell vectors:
S  0.089  0.000  0.750
As  0.820  0.741  0.544
I  0.825  0.295  0.745
As  0.079  0.259  0.956
As  0.180  0.259  0.456
I  0.470  0.295  0.245
As  0.921  0.741  0.044
I  0.175  0.705  0.255
I  0.530  0.705  0.755
S  0.911  0.000  0.250



VASP calculation (GGA-PBE) on crystalline SmSc2Nb at its relaxed geometry.

Properties
* energy relative to the lowest polymorph listed for this composition: 33 meV/atom
* calculated formation energy: 0.190 eV/atom

Unit cell a=3.231 b=3.231 c=10.881 alpha=81.46 beta=81.46 gamma=60.00
Sites, in units of the cell vectors:
Nb  0.000  0.000  0.000
Sc  0.260  0.260  0.221
Sc  0.740  0.740  0.779
Sm  0.500  0.500  0.500



VASP calculation (GGA-PBE) on crystalline Mg2InAg6 at its relaxed geometry.

Properties
* energy relative to the lowest polymorph listed for this composition: 145 meV/atom
* calculated formation energy: 0.012 eV/atom

Unit cell a=4.732 b=7.900 c=7.900 alpha=41.72 beta=72.64 gamma=72.64
Sites, in units of the cell vectors:
Ag  0.500  0.739  0.261
Ag  0.302  0.948  0.448
Mg  0.115  0.386  0.386
Ag  0.698  0.052  0.552
Mg  0.885  0.614  0.614
Ag  0.698  0.552  0.052
In  0.000  0.000  0.000
Ag  0.500  0.261  0.739
Ag  0.302  0.448  0.948



VASP calculation (GGA-PBE) on crystalline Pm3Sm at its relaxed geometry.

Properties
* energy relative to the lowest polymorph listed for this composition: 28 meV/atom
* calculated formation energy: 0.029 eV/atom

Unit cell a=3.675 b=6.375 c=6.951 alpha=117.30 beta=105.33 gamma=90.00
Sites, in units of the cell vectors:
Pm  0.750  0.081  0.500
Pm  0.500  0.502  0.000
Sm  0.000  0.002  0.000
Pm  0.250  0.582  0.500



VASP calculation (GGA-PBE) on crystalline Al2TlOs at its relaxed geometry.

Properties
* energy relative to the lowest polymorph listed for this composition: 354 meV/atom
* calculated formation energy: 0.269 eV/atom

Unit cell a=4.597 b=4.597 c=5.279 alpha=79.58 beta=79.58 gamma=41.27
Sites, in units of the cell vectors:
Al  0.020  0.020  0.936
Al  0.480  0.480  0.564
Os  0.750  0.750  0.750
Tl  0.250  0.250  0.250



VASP calculation (GGA-PBE) on crystalline K2RbAu at its relaxed geometry.

Properties
* energy relative to the lowest polymorph listed for this composition: 136 meV/atom
* calculated formation energy: -0.034 eV/atom

Unit cell a=6.234 b=6.234 c=6.234 alpha=60.00 beta=60.00 gamma=60.00
Sites, in units of the cell vectors:
Au  0.500  0.500  0.500
K  0.250  0.250  0.250
K  0.750  0.750  0.750
Rb  0.000  0.000  0.000



VASP calculation (GGA-PBE) on crystalline PmHoMgTi at its relaxed geometry.

Properties
* calculated formation energy: 0.145 eV/atom

Unit cell a=5.286 b=5.286 c=5.286 alpha=60.00 beta=60.00 gamma=60.00
Sites, in units of the cell vectors:
Ti  0.250  0.250  0.250
Mg  0.750  0.750  0.750
Pm  0.500  0.500  0.500
Ho  0.000  0.000  0.000



VASP calculation (GGA-PBE) on crystalline KPuSnI6 at its relaxed geometry.

Properties
* energy relative to the elements, uncorrected: -0.934 eV/atom

Unit cell a=7.741 b=7.741 c=14.485 alpha=90.00 beta=90.00 gamma=90.00
Sites, in units of the cell vectors:
I  0.294  0.294  0.683
I  0.794  0.206  0.183
Pu  0.500  0.500  0.831
I  0.716  0.716  0.321
I  0.216  0.784  0.821
I  0.681  0.681  0.998
I  0.181  0.819  0.498
I  0.319  0.319  0.998
I  0.206  0.794  0.183
K  0.000  0.000  0.998
I  0.784  0.216  0.821
I  0.819  0.181  0.498
Sn  0.500  0.500  0.166
Sn  0.000  0.000  0.666
K  0.500  0.500  0.498
I  0.284  0.284  0.321
Pu  0.000  0.000  0.331
I  0.706  0.706  0.683



VASP calculation (GGA-PBE) on crystalline Ta2AsPb at its relaxed geometry.

Properties
* energy relative to the lowest polymorph listed for this composition: 346 meV/atom
* calculated formation energy: 0.316 eV/atom

Unit cell a=3.120 b=3.120 c=8.641 alpha=90.00 beta=90.00 gamma=110.55
Sites, in units of the cell vectors:
As  0.500  0.500  0.250
Ta  0.000  0.000  0.469
Ta  0.000  0.000  0.031
Pb  0.500  0.500  0.750



VASP calculation (GGA-PBE) on crystalline LiCrCu2 at its relaxed geometry.

Properties
* energy relative to the lowest polymorph listed for this composition: 302 meV/atom
* calculated formation energy: 0.477 eV/atom

Unit cell a=6.693 b=6.693 c=5.359 alpha=51.36 beta=51.36 gamma=90.00
Sites, in units of the cell vectors:
Cu  0.139  0.625  0.250
Cu  0.375  0.389  0.750
Cr  0.750  0.250  0.500
Li  0.500  0.500  0.000
Cr  0.000  0.000  0.000
Cu  0.875  0.861  0.750
Cu  0.611  0.125  0.250
Li  0.250  0.750  0.500



VASP calculation (GGA-PBE) on crystalline Ba2LiPb3 at its relaxed geometry.

Properties
* energy relative to the lowest polymorph listed for this composition: 19 meV/atom
* calculated formation energy: -0.438 eV/atom

Unit cell a=5.078 b=5.063 c=8.566 alpha=90.00 beta=90.00 gamma=90.00
Sites, in units of the cell vectors:
Li  0.500  0.500  0.316
Pb  0.500  0.500  0.639
Ba  0.000  0.500  0.993
Ba  0.000  0.000  0.510
Pb  0.500  0.000  0.197
Pb  0.500  0.000  0.845



VASP calculation (GGA-PBE) on crystalline TmGa2Ag2 at its relaxed geometry.

Properties
* calculated formation energy: -0.264 eV/atom

Unit cell a=4.663 b=4.821 c=5.296 alpha=106.87 beta=90.00 gamma=118.92
Sites, in units of the cell vectors:
Ag  0.234  0.967  0.323
Ga  0.883  0.265  0.254
Ga  0.117  0.735  0.746
Ag  0.766  0.033  0.677
Tm  0.500  0.500  0.000



VASP calculation (GGA-PBE) on crystalline HIrOsRh2 at its relaxed geometry.

Properties
* energy relative to the lowest polymorph listed for this composition: 24 meV/atom

Unit cell a=3.900 b=3.900 c=3.920 alpha=90.00 beta=90.00 gamma=90.00
Sites, in units of the cell vectors:
Os  0.500  0.500  0.500
Rh  0.000  0.500  0.000
Ir  0.000  0.000  0.500
H  0.000  0.000  0.000
Rh  0.500  0.000  0.000



VASP calculation (GGA-PBE) on crystalline K2SmAuO4 at its relaxed geometry.

Properties
* energy relative to the elements, uncorrected: -1.594 eV/atom

Unit cell a=5.713 b=5.713 c=5.713 alpha=103.65 beta=112.46 gamma=112.46
Sites, in units of the cell vectors:
K  0.000  0.000  0.000
O  0.435  0.822  0.702
O  0.880  0.613  0.178
Sm  0.500  0.250  0.750
K  0.500  0.750  0.250
O  0.565  0.267  0.387
O  0.120  0.298  0.733
Au  0.000  0.500  0.500



VASP calculation (GGA-PBE) on crystalline CaSc5 at its relaxed geometry.

Properties
* energy relative to the lowest polymorph listed for this composition: 196 meV/atom
* calculated formation energy: 0.312 eV/atom

Unit cell a=6.221 b=6.221 c=5.216 alpha=90.00 beta=90.00 gamma=120.00
Sites, in units of the cell vectors:
Sc  0.667  0.333  0.000
Sc  0.500  0.500  0.500
Sc  0.333  0.667  0.000
Sc  0.000  0.500  0.500
Ca  0.000  0.000  0.000
Sc  0.500  0.000  0.500



It is found that the M_tot values, taken in the order of the records, are 0.000; 0.877; 0.000; 0.000; 0.000; 0.000; 0.000; 0.000; 0.000; 0.000; 0.000; 1.942; 10.000; 0.000; 8.198; 0.000; 0.000; 0.000; 0.000; 0.006 μB/cell.
It is found that the energy values, taken in the order of the records, are -74.75; -33.76; -29.12; -15.74; -36.42; -31.99; -26.69; -22.93; -18.85; -20.00; -6.57; -18.24; -74.28; -30.80; -35.65; -19.51; -17.55; -37.22; -42.78; -31.79 eV/cell.